VASP calculation (GGA-PBE) on a relaxed structure of GdTm6Hg.

As for the space group: No. 187. As for the energy of formation from the pure elements: -26 meV/atom.

Lattice parameters (Å, degrees): 6.9738 6.9738 5.5040 90.00 90.00 120.00
Closest atoms and distances in Å follow each position.
Atoms (fractional coordinates):
Gd 0.0000 0.0000 0.0000  12 Tm 3.39-3.49
Hg 0.3333 0.6667 0.5000  12 Tm 3.40-3.49
Tm 0.0019 0.5009 0.0000  2 Hg 3.40, 8 Tm 3.43-3.51, 2 Gd 3.49
Tm 0.4991 0.5009 0.0000  2 Hg 3.40, 8 Tm 3.43-3.51, 2 Gd 3.49
Tm 0.4991 0.9981 0.0000  2 Hg 3.40, 8 Tm 3.43-3.51, 2 Gd 3.49
Tm 0.3266 0.1633 0.5000  2 Gd 3.39, 8 Tm 3.42-3.56, 2 Hg 3.49
Tm 0.8367 0.1633 0.5000  2 Gd 3.39, 8 Tm 3.42-3.56, 2 Hg 3.49
Tm 0.8367 0.6734 0.5000  2 Gd 3.39, 8 Tm 3.42-3.56, 2 Hg 3.49